Density functional theory data (GGA-PBEsol) for crystalline SbIr3 at its relaxed geometry.

Calculated values
- formation energy from raw total energies (eV/atom) = 0.257
- M_tot (μB/f.u.) = 0.000

CIF file:
```
data_SbIr3
_chemical_formula_sum 'Sb2 Ir6'
_cell_length_a 8.982
_cell_length_b 2.903
_cell_length_c 4.885
_cell_angle_alpha 90.00
_cell_angle_beta 101.24
_cell_angle_gamma 90.00
_symmetry_space_group_name_H-M 'C 1 2/m 1'
_symmetry_Int_Tables_number 12
loop_
_symmetry_equiv_pos_as_xyz
'x,y,z'
'-x,-y,-z'
'-x,y,-z'
'x,-y,z'
'x+1/2,y+1/2,z'
'-x+1/2,-y+1/2,-z'
'-x+1/2,y+1/2,-z'
'x+1/2,-y+1/2,z'
loop_
_atom_site_label
_atom_site_type_symbol
_atom_site_fract_x
_atom_site_fract_y
_atom_site_fract_z
Sb1 Sb 0.000 0.000 0.000
Ir1 Ir 0.000 0.500 0.500
Ir2 Ir 0.250 0.000 0.735
```

***

Density functional theory data (GGA-PBEsol) for crystalline Sb3Ir at its relaxed geometry.

Calculated values
- formation energy from raw total energies (eV/atom) = 0.082
- M_tot (μB/f.u.) = 0.000
- E above lowest polymorph (meV/atom) = 431

CIF file:
```
data_Sb3Ir
_chemical_formula_sum 'Sb3 Ir1'
_cell_length_a 3.150
_cell_length_b 3.150
_cell_length_c 9.144
_cell_angle_alpha 90.00
_cell_angle_beta 90.00
_cell_angle_gamma 90.00
_symmetry_space_group_name_H-M 'P 4/m m m'
_symmetry_Int_Tables_number 123
_symmetry_space_group_name_Hall '-P 4 2'
loop_
_atom_site_label
_atom_site_type_symbol
_atom_site_fract_x
_atom_site_fract_y
_atom_site_fract_z
Sb1 Sb 0.000 0.000 0.000
Sb2 Sb 0.500 0.500 0.310
Ir1 Ir 0.000 0.000 0.500
```

***

Density functional theory data (GGA-PBEsol) for crystalline Sb3Ir at its relaxed geometry.

Calculated values
- formation energy from raw total energies (eV/atom) = 0.773
- M_tot (μB/f.u.) = 0.000
- E above lowest polymorph (meV/atom) = 1122

CIF file:
```
data_Sb3Ir
_chemical_formula_sum 'Sb3 Ir1'
_cell_length_a 5.165
_cell_length_b 5.165
_cell_length_c 5.165
_cell_angle_alpha 90.00
_cell_angle_beta 90.00
_cell_angle_gamma 90.00
_symmetry_space_group_name_H-M 'P m -3 m'
_symmetry_Int_Tables_number 221
_symmetry_space_group_name_Hall '-P 4 2 3'
loop_
_atom_site_label
_atom_site_type_symbol
_atom_site_fract_x
_atom_site_fract_y
_atom_site_fract_z
Sb1 Sb 0.000 0.000 0.500
Ir1 Ir 0.000 0.000 0.000
```

***

Density functional theory data (GGA-PBEsol) for crystalline Sb2Ir at its relaxed geometry.

Calculated values
- formation energy from raw total energies (eV/atom) = -0.390
- M_tot (μB/f.u.) = 0.000

CIF file:
```
data_Sb2Ir
_chemical_formula_sum 'Sb8 Ir4'
_cell_length_a 6.604
_cell_length_b 6.560
_cell_length_c 6.713
_cell_angle_alpha 90.00
_cell_angle_beta 115.13
_cell_angle_gamma 90.00
_symmetry_space_group_name_H-M 'P 1 21/c 1'
_symmetry_Int_Tables_number 14
loop_
_symmetry_equiv_pos_as_xyz
'x,y,z'
'-x,-y,-z'
'-x,y+1/2,-z+1/2'
'x,-y+1/2,z+1/2'
loop_
_atom_site_label
_atom_site_type_symbol
_atom_site_fract_x
_atom_site_fract_y
_atom_site_fract_z
Sb1 Sb 0.149 0.135 0.380
Sb2 Sb 0.344 0.638 0.680
Ir1 Ir 0.272 0.002 0.793
```

***

Density functional theory data (GGA-PBEsol) for crystalline Sb3Ir at its relaxed geometry.

Calculated values
- formation energy from raw total energies (eV/atom) = -0.349
- M_tot (μB/f.u.) = 0.000
- E above lowest polymorph (meV/atom) = 0

CIF file:
```
data_Sb3Ir
_chemical_formula_sum 'Sb24 Ir8'
_cell_length_a 9.276
_cell_length_b 9.276
_cell_length_c 9.276
_cell_angle_alpha 90.00
_cell_angle_beta 90.00
_cell_angle_gamma 90.00
_symmetry_space_group_name_H-M 'I m -3'
_symmetry_Int_Tables_number 204
_symmetry_space_group_name_Hall '-I 2 2 3'
loop_
_atom_site_label
_atom_site_type_symbol
_atom_site_fract_x
_atom_site_fract_y
_atom_site_fract_z
Sb1 Sb 0.000 0.154 0.340
Ir1 Ir 0.250 0.250 0.250
```

***

Density functional theory data (GGA-PBEsol) for crystalline SbIr3 at its relaxed geometry.

Calculated values
- formation energy from raw total energies (eV/atom) = 0.209
- M_tot (μB/f.u.) = 0.000

CIF file:
```
data_SbIr3
_chemical_formula_sum 'Sb4 Ir12'
_cell_length_a 6.591
_cell_length_b 8.762
_cell_length_c 4.436
_cell_angle_alpha 90.00
_cell_angle_beta 90.00
_cell_angle_gamma 90.00
_symmetry_space_group_name_H-M 'C m c m'
_symmetry_Int_Tables_number 63
_symmetry_space_group_name_Hall '-C 2c 2'
loop_
_atom_site_label
_atom_site_type_symbol
_atom_site_fract_x
_atom_site_fract_y
_atom_site_fract_z
Sb1 Sb 0.000 0.139 0.250
Ir1 Ir 0.000 0.300 0.750
Ir2 Ir 0.204 0.423 0.250
```

***

Density functional theory data (GGA-PBEsol) for crystalline Sb3Ir at its relaxed geometry.

Calculated values
- formation energy from raw total energies (eV/atom) = 0.087
- M_tot (μB/f.u.) = 0.000
- E above lowest polymorph (meV/atom) = 436

CIF file:
```
data_Sb3Ir
_chemical_formula_sum 'Sb3 Ir1'
_cell_length_a 3.065
_cell_length_b 3.276
_cell_length_c 9.426
_cell_angle_alpha 90.00
_cell_angle_beta 90.00
_cell_angle_gamma 90.00
_symmetry_space_group_name_H-M 'P m m 2'
_symmetry_Int_Tables_number 25
loop_
_symmetry_equiv_pos_as_xyz
'x,y,z'
'-x,-y,z'
'-x,y,z'
'x,-y,z'
loop_
_atom_site_label
_atom_site_type_symbol
_atom_site_fract_x
_atom_site_fract_y
_atom_site_fract_z
Sb1 Sb 0.000 0.000 0.000
Sb2 Sb 0.000 0.500 0.307
Sb3 Sb 0.500 0.500 0.694
Ir1 Ir 0.500 0.000 0.469
```

***

Density functional theory data (GGA-PBEsol) for crystalline SbIr2 at its relaxed geometry.

Calculated values
- formation energy from raw total energies (eV/atom) = 0.420
- M_tot (μB/f.u.) = 0.000

CIF file:
```
data_SbIr2
_chemical_formula_sum 'Sb1 Ir2'
_cell_length_a 3.793
_cell_length_b 3.793
_cell_length_c 3.872
_cell_angle_alpha 90.00
_cell_angle_beta 90.00
_cell_angle_gamma 90.00
_symmetry_space_group_name_H-M 'P 4/m m m'
_symmetry_Int_Tables_number 123
_symmetry_space_group_name_Hall '-P 4 2'
loop_
_atom_site_label
_atom_site_type_symbol
_atom_site_fract_x
_atom_site_fract_y
_atom_site_fract_z
Sb1 Sb 0.000 0.000 0.000
Ir1 Ir 0.000 0.500 0.500
```

***

Density functional theory data (GGA-PBEsol) for crystalline Sb4Ir3 at its relaxed geometry.

Calculated values
- formation energy from raw total energies (eV/atom) = 0.508
- M_tot (μB/f.u.) = 1.315

CIF file:
```
data_Sb4Ir3
_chemical_formula_sum 'Sb4 Ir3'
_cell_length_a 5.2884
_cell_length_b 5.2884
_cell_length_c 5.8546
_cell_angle_alpha 90.00
_cell_angle_beta 90.00
_cell_angle_gamma 120.00
_symmetry_space_group_name_H-M 'P 6/m m m'
_symmetry_Int_Tables_number 191
_symmetry_space_group_name_Hall '-P 6 2'
loop_
_atom_site_label
_atom_site_type_symbol
_atom_site_fract_x
_atom_site_fract_y
_atom_site_fract_z
Sb1 Sb 0.0000 0.0000 0.2392
Sb2 Sb 0.3333 0.6667 0.5000
Ir1 Ir 0.0000 0.5000 0.0000
```

***

Density functional theory data (GGA-PBEsol) for crystalline SbIr3 at its relaxed geometry.

Calculated values
- formation energy from raw total energies (eV/atom) = 0.338
- M_tot (μB/f.u.) = 0.000

CIF file:
```
data_SbIr3
_chemical_formula_sum 'Sb1 Ir3'
_cell_length_a 4.716
_cell_length_b 4.716
_cell_length_c 2.822
_cell_angle_alpha 90.00
_cell_angle_beta 90.00
_cell_angle_gamma 90.00
_symmetry_space_group_name_H-M 'P 4/m m m'
_symmetry_Int_Tables_number 123
_symmetry_space_group_name_Hall '-P 4 2'
loop_
_atom_site_label
_atom_site_type_symbol
_atom_site_fract_x
_atom_site_fract_y
_atom_site_fract_z
Sb1 Sb 0.000 0.000 0.000
Ir1 Ir 0.000 0.500 0.500
Ir2 Ir 0.500 0.500 0.000
```

***

Density functional theory data (GGA-PBEsol) for crystalline Sb3Ir at its relaxed geometry.

Calculated values
- formation energy from raw total energies (eV/atom) = 0.112
- M_tot (μB/f.u.) = 0.000
- E above lowest polymorph (meV/atom) = 461

CIF file:
```
data_Sb3Ir
_chemical_formula_sum 'Sb6 Ir2'
_cell_length_a 3.449
_cell_length_b 4.555
_cell_length_c 11.856
_cell_angle_alpha 90.00
_cell_angle_beta 90.00
_cell_angle_gamma 90.00
_symmetry_space_group_name_H-M 'I m m m'
_symmetry_Int_Tables_number 71
_symmetry_space_group_name_Hall '-I 2 2'
loop_
_atom_site_label
_atom_site_type_symbol
_atom_site_fract_x
_atom_site_fract_y
_atom_site_fract_z
Sb1 Sb 0.000 0.000 0.000
Sb2 Sb 0.000 0.500 0.180
Ir1 Ir 0.000 0.000 0.500
```

***

Density functional theory data (GGA-PBEsol) for crystalline Sc2SbIr at its relaxed geometry.

Calculated values
- formation energy from raw total energies (eV/atom) = -0.773
- M_tot (μB/f.u.) = 0.000

CIF file:
```
data_Sc2SbIr
_chemical_formula_sum 'Sc2 Sb1 Ir1'
_cell_length_a 3.153
_cell_length_b 3.153
_cell_length_c 7.818
_cell_angle_alpha 90.00
_cell_angle_beta 90.00
_cell_angle_gamma 90.00
_symmetry_space_group_name_H-M 'P 4/m m m'
_symmetry_Int_Tables_number 123
_symmetry_space_group_name_Hall '-P 4 2'
loop_
_atom_site_label
_atom_site_type_symbol
_atom_site_fract_x
_atom_site_fract_y
_atom_site_fract_z
Sc1 Sc 0.000 0.000 0.211
Sb1 Sb 0.500 0.500 0.500
Ir1 Ir 0.500 0.500 0.000
```

***

Q: What is the formula in the seventh record?
A: Sb3Ir

***

Q: What is the formation energy from raw total energies in the eighth record?
A: 0.420 eV/atom

***

Repeat the eleventh record exactly.
Density functional theory data (GGA-PBEsol) for crystalline Sb3Ir at its relaxed geometry.

Calculated values
- formation energy from raw total energies (eV/atom) = 0.112
- M_tot (μB/f.u.) = 0.000
- E above lowest polymorph (meV/atom) = 461

CIF file:
```
data_Sb3Ir
_chemical_formula_sum 'Sb6 Ir2'
_cell_length_a 3.449
_cell_length_b 4.555
_cell_length_c 11.856
_cell_angle_alpha 90.00
_cell_angle_beta 90.00
_cell_angle_gamma 90.00
_symmetry_space_group_name_H-M 'I m m m'
_symmetry_Int_Tables_number 71
_symmetry_space_group_name_Hall '-I 2 2'
loop_
_atom_site_label
_atom_site_type_symbol
_atom_site_fract_x
_atom_site_fract_y
_atom_site_fract_z
Sb1 Sb 0.000 0.000 0.000
Sb2 Sb 0.000 0.500 0.180
Ir1 Ir 0.000 0.000 0.500
```

***

Q: Number 3 is which compound?
A: Sb3Ir